(1)
The following is a GGA-PBE calculation of a geometry-optimized KCdFe2Te structure, from Alexandria via LeMat-Bulk.

The structure in POSCAR format:
```
KCdFe2Te
1.0
4.857 0.000 0.000
0.000 4.857 0.000
0.000 0.000 5.992
K Cd Fe Te
1 1 2 1
Cartesian
0.000 0.000 0.000
2.428 2.428 2.996
0.000 2.428 0.000
2.428 0.000 0.000
0.000 0.000 2.996
```

Values from the calculation:
Mass density, g cm⁻³: 4.591
Total magnetization, μB/f.u.: 6.04
Energy relative to the elements, uncorrected, eV/f.u.: 9.11
Excess energy over the best structure of this formula in the dataset, meV per atom: 1070


(2)
The following is a GGA-PBE calculation of a geometry-optimized LaCd4Fe structure, from Alexandria via LeMat-Bulk.

The structure in POSCAR format:
```
LaCd4Fe
1.0
0.000 4.101 4.101
4.101 0.000 4.101
4.101 4.101 0.000
La Cd Fe
1 4 1
Cartesian
0.000 0.000 0.000
5.120 3.083 3.083
3.083 5.120 3.083
3.083 3.083 5.120
5.120 5.120 5.120
2.051 2.051 2.051
```

Values from the calculation:
Mass density, g cm⁻³: 7.755
ΔE_f, meV per atom: 134
Total magnetization, μB/f.u.: 1.75


(3)
The following is a GGA-PBE calculation of a geometry-optimized La4Cd2Fe structure, from Alexandria via LeMat-Bulk.

The structure in POSCAR format:
```
La4Cd2Fe
1.0
5.161 0.000 0.000
0.000 5.161 0.000
0.000 0.000 16.620
La Cd Fe
8 4 2
Cartesian
0.000 0.000 2.865
0.000 0.000 13.755
0.000 2.581 0.000
0.000 2.581 8.310
2.581 0.000 0.000
2.581 0.000 8.310
2.581 2.581 5.445
2.581 2.581 11.175
0.000 0.000 6.057
0.000 0.000 10.563
2.581 2.581 2.253
2.581 2.581 14.367
0.000 0.000 0.000
2.581 2.581 8.310
```

Values from the calculation:
Mass density, g cm⁻³: 6.274
ΔE_f, meV per atom: -76
Total magnetization, μB/f.u.: 0.00


(4)
The following is a GGA-PBE calculation of a geometry-optimized La5Cd2Fe structure, from Alexandria via LeMat-Bulk.

The structure in POSCAR format:
```
La5Cd2Fe
1.0
8.266 0.000 0.000
0.000 12.032 0.000
0.000 0.000 4.978
La Cd Fe
10 4 2
Cartesian
0.000 0.000 0.000
1.039 3.739 0.000
1.517 6.851 2.489
2.616 0.835 2.489
3.094 9.756 0.000
4.133 6.016 0.000
5.172 2.277 0.000
5.650 11.197 2.489
6.749 5.181 2.489
7.228 8.293 0.000
0.657 10.035 2.489
3.476 4.019 2.489
4.790 8.013 2.489
7.609 1.997 2.489
0.000 6.016 0.000
4.133 0.000 0.000
```

Values from the calculation:
Mass density, g cm⁻³: 6.541
ΔE_f, meV per atom: -126
Total magnetization, μB/f.u.: 0.00


Question: The highest mass density belongs to which entry?
Answer: LaCd4Fe